(1)
Ta2MnB | GGA-PBE | relaxed

```
8
Lattice="6.715 0.000 0.000 0.000 6.715 0.000 3.357 3.357 2.611" Properties=species:S:1:pos:R:3 pbc="T T T"
B 3.357 3.357 0.000
B 3.357 6.715 1.305
Mn 0.000 0.000 0.000
Mn 6.715 3.357 1.305
Ta 4.740 1.679 0.653
Ta 1.975 5.036 0.653
Ta 5.036 5.332 1.958
Ta 8.394 8.097 1.958
```

Values from the calculation:
- total magnetic moment (μB per atom) = 0.664
- E_tot (eV for the cell shown) = -75.76
- DOS(E_F) (states/eV/f.u.) = 3.79
- formation energy (kJ/mol of formula units) = 161
- offset from the most stable computed form (eV per atom) = 0.528

(2)
Ta2MnB | GGA-PBE | relaxed

```
4
Lattice="3.117 0.000 0.000 1.559 2.700 0.000 1.559 0.900 6.724" Properties=species:S:1:pos:R:3 pbc="T T T"
B 3.117 1.800 3.362
Mn 0.000 0.000 0.000
Ta 1.559 0.900 2.013
Ta 4.676 2.700 4.711
```

Values from the calculation:
- total magnetic moment (μB per atom) = 0.400
- E_tot (eV for the cell shown) = -39.99
- DOS(E_F) (states/eV/f.u.) = 3.17
- formation energy (kJ/mol of formula units) = -42
- offset from the most stable computed form (eV per atom) = 0.000

(3)
TaMnB3 | GGA-PBE | relaxed

```
5
Lattice="3.709 0.000 0.000 0.000 3.709 0.000 0.000 0.000 3.709" Properties=species:S:1:pos:R:3 pbc="T T T"
B 0.000 1.854 0.000
B 0.000 0.000 1.854
B 1.854 0.000 0.000
Mn 0.000 0.000 0.000
Ta 1.854 1.854 1.854
```

Values from the calculation:
- total magnetic moment (μB per atom) = 0.000
- E_tot (eV for the cell shown) = -38.20
- DOS(E_F) (states/eV/f.u.) = 2.43
- formation energy (kJ/mol of formula units) = 275

(4)
TaMnB2 | GGA-PBE | relaxed

```
4
Lattice="3.004 0.000 -1.096 0.000 3.048 0.000 -0.092 0.000 4.414" Properties=species:S:1:pos:R:3 pbc="T T T"
Ta 1.263 1.524 1.315
Mn 2.079 0.000 3.548
B 0.364 1.524 3.513
B 0.032 0.000 2.604
```

Values from the calculation:
- total magnetic moment (μB per atom) = 0.461
- E_tot (eV for the cell shown) = -36.63
- DOS(E_F) (states/eV/f.u.) = 1.82
- formation energy (kJ/mol of formula units) = -217

(5)
TaMnB2 | GGA-PBE | relaxed

```
4
Lattice="0.000 2.714 2.714 2.714 0.000 2.714 2.714 2.714 0.000" Properties=species:S:1:pos:R:3 pbc="T T T"
B 1.357 1.357 1.357
B 4.071 4.071 4.071
Mn 0.000 0.000 0.000
Ta 2.714 2.714 2.714
```

Values from the calculation:
- total magnetic moment (μB per atom) = 0.000
- E_tot (eV for the cell shown) = -33.87
- DOS(E_F) (states/eV/f.u.) = 1.77
- formation energy (kJ/mol of formula units) = 49

(6)
TaMnB | GGA-PBE | relaxed

```
18
Lattice="3.099 0.000 0.000 0.000 6.124 0.000 0.000 0.000 10.570" Properties=species:S:1:pos:R:3 pbc="T T T"
Ta 0.000 1.488 10.075
Ta 0.000 4.635 0.495
Ta 0.000 1.488 5.780
Ta 0.000 4.635 4.790
Ta 0.000 0.873 2.642
Ta 0.000 5.250 7.927
Mn 1.550 2.594 1.338
Mn 1.550 3.529 9.232
Mn 1.550 2.594 3.947
Mn 1.550 3.529 6.623
Mn 1.550 4.856 2.642
Mn 1.550 1.268 7.927
B 1.550 0.306 0.909
B 1.550 5.818 9.661
B 1.550 0.306 4.376
B 1.550 5.818 6.194
B 0.000 3.343 2.642
B 0.000 2.780 7.927
```

Values from the calculation:
- total magnetic moment (μB per atom) = 0.000
- E_tot (eV for the cell shown) = -177.34
- DOS(E_F) (states/eV/f.u.) = 1.82
- formation energy (kJ/mol of formula units) = -179
- offset from the most stable computed form (eV per atom) = 0.000

(7)
TaMn2B | GGA-PBE | relaxed

```
4
Lattice="2.898 0.000 0.022 0.000 4.425 0.000 -0.029 -2.212 3.696" Properties=species:S:1:pos:R:3 pbc="T T T"
Ta 1.449 2.212 0.011
Mn 2.879 2.212 2.380
Mn -0.010 0.000 1.338
B 1.449 0.000 0.011
```

Values from the calculation:
- total magnetic moment (μB per atom) = 0.000
- E_tot (eV for the cell shown) = -37.16
- DOS(E_F) (states/eV/f.u.) = 3.80
- formation energy (kJ/mol of formula units) = -28

(8)
TaMn3B | GGA-PBE | relaxed

```
5
Lattice="-2.935 -2.435 -0.710 1.145 -2.240 2.952 -2.263 2.024 2.414" Properties=species:S:1:pos:R:3 pbc="T T T"
B 0.000 0.000 0.000
Mn 0.572 -1.120 1.476
Mn -1.131 1.012 1.207
Mn -1.467 -1.217 -0.355
Ta -2.026 -1.325 2.328
```

Values from the calculation:
- total magnetic moment (μB per atom) = 0.535
- E_tot (eV for the cell shown) = -46.50
- DOS(E_F) (states/eV/f.u.) = 3.63
- formation energy (kJ/mol of formula units) = -44
- offset from the most stable computed form (eV per atom) = 0.000

(9)
Ta2Mn21B6 | GGA-PBE | relaxed

```
29
Lattice="6.509 0.000 3.758 2.170 6.136 3.758 0.000 0.000 7.516" Properties=species:S:1:pos:R:3 pbc="T T T"
Ta 6.509 4.602 11.273
Ta 2.170 1.534 3.758
Mn 0.000 0.000 0.000
Mn 5.340 3.776 5.783
Mn 5.340 3.776 9.249
Mn 4.339 0.946 7.516
Mn 2.338 3.776 7.516
Mn 3.339 2.361 9.249
Mn 3.339 2.361 5.783
Mn 4.339 5.191 7.516
Mn 6.340 2.361 7.516
Mn 4.255 0.000 5.059
Mn 1.418 4.012 5.059
Mn 0.000 0.000 2.602
Mn 1.418 4.012 2.457
Mn 4.255 0.000 2.457
Mn 0.000 0.000 4.913
Mn 0.751 2.125 1.301
Mn 0.751 2.125 6.214
Mn 5.006 2.125 3.758
Mn 2.254 0.000 6.214
Mn 2.254 0.000 1.301
Mn 3.672 4.012 3.758
B 3.340 4.482 5.785
B 5.339 1.655 5.785
B 6.338 4.482 7.516
B 5.339 1.655 9.247
B 3.340 4.482 9.247
B 2.340 1.655 7.516
```

Values from the calculation:
- total magnetic moment (μB per atom) = 0.646
- E_tot (eV for the cell shown) = -263.59
- DOS(E_F) (states/eV/f.u.) = 29.08
- formation energy (kJ/mol of formula units) = -700

(10)
TaMnTcB2 | GGA-PBE | relaxed

```
5
Lattice="4.206 0.000 0.000 0.000 4.545 0.000 0.000 0.000 4.206" Properties=species:S:1:pos:R:3 pbc="T T T"
B 0.000 0.000 2.103
B 2.103 0.000 0.000
Mn 0.000 2.272 0.000
Tc 2.103 2.272 2.103
Ta 0.000 0.000 0.000
```

Values from the calculation:
- total magnetic moment (μB per atom) = 1.018
- E_tot (eV for the cell shown) = -35.59
- DOS(E_F) (states/eV/f.u.) = 3.03
- formation energy (kJ/mol of formula units) = 883

(11)
TaMnVB2 | GGA-PBE | relaxed

```
5
Lattice="-3.637 1.367 -0.651 -1.747 -3.682 2.028 0.083 1.870 3.467" Properties=species:S:1:pos:R:3 pbc="T T T"
V 0.000 0.000 0.000
Mn -2.651 -0.223 2.422
B 0.041 0.935 1.733
B -1.819 0.684 -0.325
Ta -0.873 -1.841 1.014
```

Values from the calculation:
- total magnetic moment (μB per atom) = 0.029
- E_tot (eV for the cell shown) = -35.39
- DOS(E_F) (states/eV/f.u.) = 8.00
- formation energy (kJ/mol of formula units) = 782

(12)
TbMn9B4 | GGA-PBE | relaxed

```
28
Lattice="6.355 0.000 -3.583 -2.020 6.025 -3.583 0.117 0.163 7.634" Properties=species:S:1:pos:R:3 pbc="T T T"
Tb 3.309 4.600 -1.557
Tb 1.142 1.588 2.026
Mn 0.131 1.130 -0.960
Mn 4.203 4.895 -6.206
Mn 3.057 1.882 -3.199
Mn 1.278 4.143 -3.967
Mn 1.137 2.528 -2.623
Mn 3.197 3.496 -4.543
Mn -0.666 5.541 -3.967
Mn 5.000 0.484 -3.199
Mn -1.010 3.012 -1.792
Mn 3.177 0.000 -1.792
Mn 4.575 1.943 -1.269
Mn 3.433 0.355 0.618
Mn 5.738 1.233 0.794
Mn 3.532 2.820 0.794
Mn -0.123 4.245 1.738
Mn 1.019 5.832 -0.150
Mn 0.920 3.368 -0.326
Mn -1.287 4.955 -0.326
B 0.289 4.819 -1.945
B 5.209 2.825 -3.156
B 2.078 4.382 1.227
B 1.327 0.351 4.810
B 4.162 1.369 2.413
B -0.758 3.363 3.625
B 3.125 5.837 -4.342
B 2.374 1.806 -0.759
```

Values from the calculation:
- total magnetic moment (μB per atom) = 0.541
- E_tot (eV for the cell shown) = -230.45
- DOS(E_F) (states/eV/f.u.) = 9.32
- formation energy (kJ/mol of formula units) = -131

> The highest formation energy belongs to which entry?

TaMnTcB2

> Look up the total magnetic moment of the fifth one.

0.000 μB per atom

Copy entry 1 word for word.
Ta2MnB | GGA-PBE | relaxed

```
8
Lattice="6.715 0.000 0.000 0.000 6.715 0.000 3.357 3.357 2.611" Properties=species:S:1:pos:R:3 pbc="T T T"
B 3.357 3.357 0.000
B 3.357 6.715 1.305
Mn 0.000 0.000 0.000
Mn 6.715 3.357 1.305
Ta 4.740 1.679 0.653
Ta 1.975 5.036 0.653
Ta 5.036 5.332 1.958
Ta 8.394 8.097 1.958
```

Values from the calculation:
- total magnetic moment (μB per atom) = 0.664
- E_tot (eV for the cell shown) = -75.76
- DOS(E_F) (states/eV/f.u.) = 3.79
- formation energy (kJ/mol of formula units) = 161
- offset from the most stable computed form (eV per atom) = 0.528

> Which formula does entry 2 have?

Ta2MnB